56
Lattice="8.3031 0.0058 0.0057 0.0108 8.3031 0.0057 0.0108 0.0108 8.3031" Properties=species:S:1:pos:R:3 comment="Li7Mn12Cu5O32 PBE with a Hubbard U optimized geometry" energy_ev_per_cell=-360.77 dos_ef_per_ev_cell=27.780 pbc="T T T"
Li 0.0414 8.2992 4.1899
Cu 2.0300 6.2928 6.1889
O 2.9679 3.1447 5.3254
O 7.0977 5.1899 7.1143
Mn 5.2236 5.2141 7.2654
O 7.2921 2.9809 1.2427
O 5.1942 7.1187 7.0901
O 3.1124 3.2975 0.9166
Cu 4.1144 4.1119 4.1094
Mn 7.2778 3.1229 3.1168
O 0.9205 3.1118 3.2969
Li 1.0347 5.2286 3.0988
Li 8.2992 4.1899 0.0337
Mn 7.2765 1.0705 1.0801
Mn 1.0496 3.1131 5.2125
O 7.1755 1.1621 3.0426
O 3.1465 5.3272 2.9627
Mn 1.0852 7.2758 1.0699
O 1.0380 1.2111 5.3918
Mn 1.0750 1.0845 7.2751
O 3.2303 5.1119 7.3672
O 5.2078 0.8807 5.0697
Li 7.2789 7.2745 7.2700
Cu 6.1940 2.0262 6.2890
O 7.2728 5.0345 3.2492
O 5.1139 7.3692 3.2227
O 0.9620 0.9614 0.9608
O 1.1665 3.0470 7.1729
O 0.8839 5.0729 5.2042
Mn 7.2718 5.2191 5.2096
Mn 5.2150 1.0464 3.1099
O 7.4206 1.0885 7.4719
O 7.3723 3.2258 5.1074
Li 5.2292 3.0994 1.0296
Cu 2.1412 2.1399 2.1386
O 5.2843 5.2811 5.2779
O 7.4771 7.4160 1.0839
Mn 3.1137 5.2131 1.0445
Mn 3.1273 3.1212 7.2740
O 5.3932 1.0347 1.2078
Li 3.1026 1.0328 5.2267
O 3.2567 7.2708 5.0326
O 7.1218 7.0933 5.1855
Mn 3.1232 7.2759 3.1209
O 5.0734 5.2047 0.8776
O 3.0477 7.1736 1.1602
O 1.0930 7.4764 7.4154
O 5.3292 2.9646 3.1415
O 2.9854 1.2472 7.2895
Li 4.1950 0.0388 8.2966
O 3.2994 0.9185 3.1098
O 1.2117 5.3925 1.0339
O 1.2490 7.2913 2.9801
O 5.0390 3.2536 7.2677
Cu 6.2940 6.1901 2.0224
Mn 5.2173 7.2686 5.2159